The following is a DFT calculation (PBE) of ScCuOs2 after structural relaxation.

Cell: 5.810 5.810 5.810 Å, 99.90 99.90 131.00°
Fractional coordinates of all 8 atoms:
Sc 0.000 0.000 0.000
Sc 0.750 0.250 0.500
Cu 0.250 0.750 0.500
Cu 0.500 0.500 0.000
Os 0.181 0.625 0.056
Os 0.375 0.431 0.556
Os 0.569 0.125 0.944
Os 0.875 0.819 0.444

Output
- formation energy (eV per atom) = 0.554
- symmetry = I-42d, No. 122
- excess energy over the best structure of this formula in the dataset (meV/atom) = 580
- magnetic moment (μB/atom) = 0.000